Record 1
First-principles (PBE) data for a relaxed structure of BaIrPb2, as listed in Alexandria.

Properties
DOS at the Fermi energy ... 2.35 states/eV/f.u.
Total energy ... -4.35 eV per atom

```
BaIrPb2
1.0
-1.265 2.484 3.737
-2.173 -3.736 1.748
4.340 -1.401 2.400
Pb Ba Ir
2 1 1
direct
0.000 0.000 0.000 Pb
0.500 0.500 0.000 Pb
0.500 0.000 0.500 Ba
0.000 0.500 0.500 Ir
```


Record 2
First-principles (PBE) data for a relaxed structure of BaIr3Pb, as listed in Alexandria.

Properties
DOS at the Fermi energy ... 4.18 states/eV/f.u.
Total energy ... -4.10 eV per atom

```
BaIr3Pb
1.0
-2.537 -3.132 3.232
4.440 -2.351 1.206
0.740 3.370 3.846
Ir Pb Ba
3 1 1
direct
0.500 0.000 0.000 Ir
0.000 0.500 0.000 Ir
0.000 0.000 0.500 Ir
0.500 0.500 0.500 Pb
0.000 0.000 0.000 Ba
```


Record 3
First-principles (PBE) data for a relaxed structure of BaIrPb2, as listed in Alexandria.

Properties
DOS at the Fermi energy ... 3.79 states/eV/f.u.
Total energy ... -4.72 eV per atom

```
BaIrPb2
1.0
-2.406 -2.686 -3.102
1.976 -1.189 -4.160
2.239 -6.430 0.175
Ba Pb Ir
1 2 1
direct
0.505 0.505 0.487 Ba
0.953 0.953 0.141 Pb
0.715 0.715 0.853 Pb
0.327 0.327 0.019 Ir
```


Record 4
First-principles (PBE) data for a relaxed structure of Ba8IrPb2, as listed in Alexandria.

Properties
DOS at the Fermi energy ... 8.83 states/eV/f.u.
Total energy ... -3.15 eV per atom

```
Ba8IrPb2
1.0
-0.837 5.548 2.348
1.115 -2.912 7.279
9.781 0.251 -4.987
Ir Ba Pb
1 8 2
direct
0.500 0.000 0.000 Ir
0.788 0.720 0.577 Ba
0.357 0.065 0.714 Ba
0.022 0.796 0.044 Ba
0.407 0.601 0.814 Ba
0.593 0.399 0.186 Ba
0.212 0.280 0.423 Ba
0.978 0.204 0.956 Ba
0.643 0.935 0.286 Ba
0.184 0.707 0.368 Pb
0.816 0.293 0.632 Pb
```


What is the formula in the second record? BaIr3Pb


Which of these has the highest DOS at the Fermi energy? Ba8IrPb2


Repeat the fourth record exactly.
First-principles (PBE) data for a relaxed structure of Ba8IrPb2, as listed in Alexandria.

Properties
DOS at the Fermi energy ... 8.83 states/eV/f.u.
Total energy ... -3.15 eV per atom

```
Ba8IrPb2
1.0
-0.837 5.548 2.348
1.115 -2.912 7.279
9.781 0.251 -4.987
Ir Ba Pb
1 8 2
direct
0.500 0.000 0.000 Ir
0.788 0.720 0.577 Ba
0.357 0.065 0.714 Ba
0.022 0.796 0.044 Ba
0.407 0.601 0.814 Ba
0.593 0.399 0.186 Ba
0.212 0.280 0.423 Ba
0.978 0.204 0.956 Ba
0.643 0.935 0.286 Ba
0.184 0.707 0.368 Pb
0.816 0.293 0.632 Pb
```